Entry from Alexandria: Sr2Mg12AlHg3 after structural relaxation (PBE).

Computed properties:
Total magnetization: 0.00 Bohr magnetons per cell
Symmetry: R-3m
Mass density: 3.6 g/cm³

Lattice parameters (Å, degrees): 11.2852 11.2852 11.2852 38.81 38.81 38.81
Last column: nearest neighbours and their distance in Å.
Fractional positions:
Sr: 0.6459 0.6459 0.6459  6 Mg 3.58-3.69
Sr: 0.3541 0.3541 0.3541  6 Mg 3.58-3.69
Mg: 0.4131 0.4131 0.8104  2 Hg 2.81, 4 Mg 2.98-3.01
Mg: 0.9217 0.9217 0.3619  1 Al 2.87, 2 Mg 3.01, 1 Hg 3.08
Mg: 0.3619 0.9217 0.9217  1 Al 2.87, 2 Mg 3.01, 1 Hg 3.08
Mg: 0.8104 0.4131 0.4131  2 Hg 2.81, 4 Mg 2.98-3.01
Mg: 0.9217 0.3619 0.9217  1 Al 2.87, 2 Mg 3.01, 1 Hg 3.08
Mg: 0.4131 0.8104 0.4131  2 Hg 2.81, 4 Mg 2.98-3.01
Mg: 0.5869 0.5869 0.1896  2 Hg 2.81, 4 Mg 2.98-3.01
Mg: 0.0783 0.0783 0.6381  1 Al 2.87, 2 Mg 3.01, 1 Hg 3.08
Mg: 0.6381 0.0783 0.0783  1 Al 2.87, 2 Mg 3.01, 1 Hg 3.08
Mg: 0.1896 0.5869 0.5869  2 Hg 2.81, 4 Mg 2.98-3.01
Mg: 0.0783 0.6381 0.0783  1 Al 2.87, 2 Mg 3.01, 1 Hg 3.08
Mg: 0.5869 0.1896 0.5869  2 Hg 2.81, 4 Mg 2.98-3.01
Al: 0.0000 0.0000 0.0000  6 Mg 2.87
Hg: 0.5000 0.0000 0.0000  6 Mg 2.81-3.08
Hg: 0.0000 0.5000 0.0000  6 Mg 2.81-3.08
Hg: 0.0000 0.0000 0.5000  6 Mg 2.81-3.08

Entry from Alexandria: TiBeZn3 after structural relaxation (PBE).

Computed properties:
Total magnetization: 2.06 Bohr magnetons per cell
Energy above the lowest structure with this stoichiometry: 1060 meV per atom
Symmetry: Pm-3m
Mass density: 3.4 g/cm³

Lattice parameters (Å, degrees): 4.9621 4.9621 4.9621 90.00 90.00 90.00
Last column: nearest neighbours and their distance in Å.
Fractional positions:
Be: 0.5000 0.5000 0.5000  12 Zn 3.51
Zn: 0.0000 0.5000 0.0000  2 Ti 2.48
Zn: 0.0000 0.0000 0.5000  2 Ti 2.48
Zn: 0.5000 0.0000 0.0000  2 Ti 2.48
Ti: 0.0000 0.0000 0.0000  6 Zn 2.48

Entry from Alexandria: YHoTl after structural relaxation (PBE).

Computed properties:
Total magnetization: 1.92 Bohr magnetons per cell
Energy above the lowest structure with this stoichiometry: 485 meV per atom
Symmetry: Cmmm
Mass density: 6.8 g/cm³

Lattice parameters (Å, degrees): 4.8984 6.7366 6.7366 90.61 90.00 90.00
Last column: nearest neighbours and their distance in Å.
Fractional positions:
Tl: 0.0000 0.0000 0.0000  2 Ho 2.96, 4 Y 3.05
Tl: 0.5000 0.5000 0.5000  2 Y 2.98, 4 Ho 3.03
Ho: 0.0000 0.6875 0.6875  3 Tl 2.96-3.03
Ho: 0.0000 0.3125 0.3125  3 Tl 2.96-3.03
Y: 0.5000 0.1889 0.8111  3 Tl 2.98-3.05
Y: 0.5000 0.8111 0.1889  3 Tl 2.98-3.05

Entry from Alexandria: Pr3Ge2Rh after structural relaxation (PBE).

Computed properties:
Total magnetization: 0.00 Bohr magnetons per cell
Symmetry: Pnma
Mass density: 7.2 g/cm³

Lattice parameters (Å, degrees): 4.3639 11.7006 12.1722 90.00 90.00 90.00
Last column: nearest neighbours and their distance in Å.
Fractional positions:
Pr: 0.2500 0.3715 0.0540  1 Rh 2.97, 4 Ge 3.10-3.13
Pr: 0.7500 0.6285 0.9460  1 Rh 2.97, 4 Ge 3.10-3.13
Pr: 0.7500 0.8715 0.4460  1 Rh 2.97, 4 Ge 3.10-3.13
Pr: 0.2500 0.1285 0.5540  1 Rh 2.97, 4 Ge 3.10-3.13
Pr: 0.2500 0.6987 0.2220  2 Rh 2.93, 4 Ge 3.18-3.21
Pr: 0.7500 0.3013 0.7780  2 Rh 2.93, 4 Ge 3.18-3.21
Pr: 0.7500 0.1987 0.2780  2 Rh 2.93, 4 Ge 3.18-3.21
Pr: 0.2500 0.8013 0.7220  2 Rh 2.93, 4 Ge 3.18-3.21
Pr: 0.2500 0.4456 0.3799  3 Rh 3.08-3.18, 5 Ge 3.10-3.23
Pr: 0.7500 0.5544 0.6201  3 Rh 3.08-3.18, 5 Ge 3.10-3.23
Pr: 0.7500 0.9456 0.1201  3 Rh 3.08-3.18, 5 Ge 3.10-3.23
Pr: 0.2500 0.0544 0.8799  3 Rh 3.08-3.18, 5 Ge 3.10-3.23
Ge: 0.2500 0.6876 0.4843  2 Rh 2.68
Ge: 0.7500 0.3124 0.5157  2 Rh 2.68
Ge: 0.7500 0.1876 0.0157  2 Rh 2.68
Ge: 0.2500 0.8124 0.9843  2 Rh 2.68
Ge: 0.2500 0.0000 0.3087  1 Rh 2.65
Ge: 0.7500 0.0000 0.6913  1 Rh 2.65
Ge: 0.7500 0.5000 0.1913  1 Rh 2.65
Ge: 0.2500 0.5000 0.8087  1 Rh 2.65
Rh: 0.2500 0.1309 0.1309  3 Ge 2.65-2.68, 3 Pr 2.93-2.97
Rh: 0.7500 0.8691 0.8691  3 Ge 2.65-2.68, 3 Pr 2.93-2.97
Rh: 0.7500 0.6309 0.3691  3 Ge 2.65-2.68, 3 Pr 2.93-2.97
Rh: 0.2500 0.3691 0.6309  3 Ge 2.65-2.68, 3 Pr 2.93-2.97

Entry from Alexandria: YMnB2Te after structural relaxation (PBE).

Computed properties:
Total magnetization: 0.38 Bohr magnetons per cell
Symmetry: P4/mmm
Mass density: 4.4 g/cm³
Uncorrected formation energy: 1011 kJ/mol of formula units

Lattice parameters (Å, degrees): 4.4185 5.7120 4.4185 90.00 90.00 90.00
Last column: nearest neighbours and their distance in Å.
Fractional positions:
Y: 0.0000 0.5000 0.0000  2 Te 2.86, 4 Mn 3.12
B: 0.0000 0.0000 0.5000  2 Te 2.21
B: 0.5000 0.0000 0.0000  2 Te 2.21
Te: 0.0000 0.0000 0.0000  4 B 2.21
Mn: 0.5000 0.5000 0.5000  4 Y 3.12

Entry from Alexandria: TcNiMo2N after structural relaxation (PBE).

Computed properties:
Total magnetization: 0.00 Bohr magnetons per cell
Energy above the lowest structure with this stoichiometry: 11 meV per atom
Symmetry: P4/mmm
Mass density: 9.2 g/cm³
Uncorrected formation energy: -6 kJ/mol of formula units

Lattice parameters (Å, degrees): 4.0567 4.0567 3.9965 90.00 90.00 90.00
Last column: nearest neighbours and their distance in Å.
Fractional positions:
Ni: 0.5000 0.5000 0.5000  8 Mo 2.85, 4 Tc 2.87
Mo: 0.0000 0.5000 0.0000  2 N 2.03
Mo: 0.5000 0.0000 0.0000  2 N 2.03
Tc: 0.0000 0.0000 0.5000  2 N 2.00
N: 0.0000 0.0000 0.0000  2 Tc 2.00, 4 Mo 2.03

Entry from Alexandria: Li12Hg6Bi after structural relaxation (PBE).

Computed properties:
Total magnetization: 0.00 Bohr magnetons per cell
Symmetry: R-3
Mass density: 6.6 g/cm³

Lattice parameters (Å, degrees): 7.2372 7.2372 7.2372 91.77 91.77 91.77
Last column: nearest neighbours and their distance in Å.
Fractional positions:
Li: 0.7985 0.5302 0.4276  4 Hg 2.68-2.84, 3 Li 2.88-2.93
Li: 0.4276 0.7985 0.5302  4 Hg 2.68-2.84, 3 Li 2.88-2.93
Li: 0.5302 0.4276 0.7985  4 Hg 2.68-2.84, 3 Li 2.88-2.93
Li: 0.2015 0.4698 0.5724  4 Hg 2.68-2.84, 3 Li 2.88-2.93
Li: 0.5724 0.2015 0.4698  4 Hg 2.68-2.84, 3 Li 2.88-2.93
Li: 0.4698 0.5724 0.2015  4 Hg 2.68-2.84, 3 Li 2.88-2.93
Li: 0.0147 0.1563 0.3722  4 Hg 2.87-3.12, 1 Bi 2.89, 3 Li 2.93-3.19
Li: 0.8437 0.6278 0.9853  4 Hg 2.87-3.12, 1 Bi 2.89, 3 Li 2.93-3.19
Li: 0.6278 0.9853 0.8437  4 Hg 2.87-3.12, 1 Bi 2.89, 3 Li 2.93-3.19
Li: 0.9853 0.8437 0.6278  4 Hg 2.87-3.12, 1 Bi 2.89, 3 Li 2.93-3.19
Li: 0.1563 0.3722 0.0147  4 Hg 2.87-3.12, 1 Bi 2.89, 3 Li 2.93-3.19
Li: 0.3722 0.0147 0.1563  4 Hg 2.87-3.12, 1 Bi 2.89, 3 Li 2.93-3.19
Hg: 0.7098 0.8774 0.3113  6 Li 2.68-2.96
Hg: 0.6887 0.2902 0.1226  6 Li 2.68-2.96
Hg: 0.1226 0.6887 0.2902  6 Li 2.68-2.96
Hg: 0.2902 0.1226 0.6887  6 Li 2.68-2.96
Hg: 0.3113 0.7098 0.8774  6 Li 2.68-2.96
Hg: 0.8774 0.3113 0.7098  6 Li 2.68-2.96
Bi: 0.0000 0.0000 0.0000  6 Li 2.89

Entry from Alexandria: NiOs2Br after structural relaxation (PBE).

Computed properties:
Total magnetization: 0.25 Bohr magnetons per cell
Energy above the lowest structure with this stoichiometry: 539 meV per atom
Symmetry: Pmmm
Mass density: 14.3 g/cm³
Uncorrected formation energy: 450 kJ/mol of formula units

Lattice parameters (Å, degrees): 2.7677 4.6619 4.6787 90.00 90.00 90.00
Last column: nearest neighbours and their distance in Å.
Fractional positions:
Br: 0.5000 0.0000 0.5000  4 Ni 2.71, 4 Os 2.72, 2 Br 2.77
Ni: 0.0000 0.5000 0.5000  4 Br 2.71, 4 Os 2.72, 2 Ni 2.77
Os: 0.0000 0.0000 0.0000  6 Os 2.71-2.77, 4 Br 2.72
Os: 0.5000 0.5000 0.0000  6 Os 2.71-2.77, 4 Ni 2.72

Entry from Alexandria: AsWBr2 after structural relaxation (PBE).

Computed properties:
Total magnetization: 0.00 Bohr magnetons per cell
Energy above the lowest structure with this stoichiometry: 543 meV per atom
Symmetry: R-3m
Mass density: 7.1 g/cm³
Uncorrected formation energy: 199 kJ/mol of formula units

Lattice parameters (Å, degrees): 11.4295 11.4295 11.4295 15.88 15.88 15.88
Last column: nearest neighbours and their distance in Å.
Fractional positions:
As: 0.0000 0.0000 0.0000  6 As 3.16
Br: 0.8894 0.8894 0.8894  3 W 2.63
Br: 0.1106 0.1106 0.1106  3 W 2.63
W: 0.5000 0.5000 0.5000  6 Br 2.63

Entry from Alexandria: Ac2TeAu after structural relaxation (PBE).

Computed properties:
Total magnetization: 1.07 Bohr magnetons per cell
Energy above the lowest structure with this stoichiometry: 241 meV per atom
Symmetry: Fm-3m
Mass density: 10.0 g/cm³
Uncorrected formation energy: -340 kJ/mol of formula units

Lattice parameters (Å, degrees): 5.6761 5.6761 5.6761 60.00 60.00 60.00
Last column: nearest neighbours and their distance in Å.
Fractional positions:
Ac: 0.2500 0.2500 0.2500  4 Te 3.48, 4 Au 3.48
Ac: 0.7500 0.7500 0.7500  4 Te 3.48, 4 Au 3.48
Te: 0.0000 0.0000 0.0000  8 Ac 3.48
Au: 0.5000 0.5000 0.5000  8 Ac 3.48

Entry from Alexandria: La6SiN4 after structural relaxation (PBE).

Computed properties:
Total magnetization: 0.00 Bohr magnetons per cell
Symmetry: Cmcm
Mass density: 6.5 g/cm³
Uncorrected formation energy: -1184 kJ/mol of formula units

Lattice parameters (Å, degrees): 3.8240 6.5566 19.6500 90.00 90.00 106.95
Last column: nearest neighbours and their distance in Å.
Fractional positions:
La: 0.5000 0.0000 0.0000  6 N 2.64-2.72
La: 0.5000 0.0000 0.5000  6 N 2.64-2.72
La: 0.0439 0.0879 0.3504  3 N 2.47-2.54
La: 0.9561 0.9121 0.6496  3 N 2.47-2.54
La: 0.9561 0.9121 0.8504  3 N 2.47-2.54
La: 0.0439 0.0879 0.1496  3 N 2.47-2.54
La: 0.7780 0.5560 0.4215  5 N 2.54-2.74
La: 0.2220 0.4440 0.5785  5 N 2.54-2.74
La: 0.2220 0.4440 0.9215  5 N 2.54-2.74
La: 0.7780 0.5560 0.0785  5 N 2.54-2.74
La: 0.3527 0.7055 0.2500  2 N 2.61
La: 0.6473 0.2945 0.7500  2 N 2.61
Si: 0.6695 0.3389 0.2500  6 La 2.99-3.17
Si: 0.3305 0.6611 0.7500  6 La 2.99-3.17
N: 0.8596 0.7191 0.5400  6 La 2.47-2.72
N: 0.4169 0.8339 0.1236  6 La 2.54-2.74
N: 0.1404 0.2809 0.4600  6 La 2.47-2.72
N: 0.5831 0.1661 0.8764  6 La 2.54-2.74
N: 0.8596 0.7191 0.9600  6 La 2.47-2.72
N: 0.1404 0.2809 0.0400  6 La 2.47-2.72
N: 0.5831 0.1661 0.6236  6 La 2.54-2.74
N: 0.4169 0.8339 0.3764  6 La 2.54-2.74

The DFT total energy results, record by record, are as follows: -1.46; -1.77; -4.27; -5.97; -4.33; -9.24; -1.80; -6.31; -4.72; -4.54; -7.32 eV/atom.